{"formula": "KSi2BiO6", "functional": "PBE-GGA", "state": "optimized geometry", "cell": [[5.270, -5.085, 0.000], [5.270, 5.085, 0.000], [-1.100, 0.000, 5.322]], "species": ["K", "K", "Si", "Si", "Si", "Si", "Bi", "Bi", "O", "O", "O", "O", "O", "O", "O", "O", "O", "O", "O", "O"], "frac_coords": [[0.172, 0.828, 0.750], [0.828, 0.172, 0.250], [0.137, 0.300, 0.777], [0.300, 0.137, 0.277], [0.700, 0.863, 0.723], [0.863, 0.700, 0.223], [0.380, 0.620, 0.250], [0.620, 0.380, 0.750], [0.074, 0.628, 0.283], [0.155, 0.180, 0.021], [0.180, 0.155, 0.521], [0.298, 0.457, 0.837], [0.372, 0.926, 0.217], [0.457, 0.298, 0.337], [0.543, 0.702, 0.663], [0.628, 0.074, 0.783], [0.702, 0.543, 0.163], [0.820, 0.845, 0.479], [0.845, 0.820, 0.979], [0.926, 0.372, 0.717]], "final_energy_ha_per_atom": -0.251, "formation_energy_uncorrected_ev_per_fu": -22.71, "dos_at_fermi_per_ev_cell": 0.000, "crystal_system": "monoclinic"}